Density functional theory data (PBE-GGA) for a geometry-optimized NaY2In2 structure.

Lattice parameters (Å, degrees): 8.7961 8.7961 3.7359 90.00 90.00 90.00
Fractional positions:
1 Na 0.0000 0.0000 0.0000
2 Na 0.5000 0.5000 0.0000
3 Y 0.1730 0.3270 0.5000
4 Y 0.3270 0.8270 0.5000
5 Y 0.6730 0.1730 0.5000
6 Y 0.8270 0.6730 0.5000
7 In 0.1248 0.6248 0.0000
8 In 0.3752 0.1248 0.0000
9 In 0.6248 0.8752 0.0000
10 In 0.8752 0.3752 0.0000

Calculated values
For the energy above the most stable polymorph in this dataset, the calculation gives 0 kJ/mol of formula units. Its calculated density is 4.945 g/cm³. As for the space group: P4/mbm, No. 127. The calculation puts the magnetization at 0.5 μB/f.u. The calculation puts the total energy at -4.22 eV per atom. The energy of formation from the pure elements is -0.27 eV per atom.